1.
Density functional theory data (PBE) for crystalline SrLiReP2 at its relaxed geometry.

Output
Crystal system: tetragonal
Space-group type: No. 123
Energy of formation from the pure elements: 1.3 eV per formula unit

Lattice parameters (Å, degrees): 4.661 5.805 4.661 90.00 90.00 90.00
Fractional positions:
P1 0.500 0.000 0.000
P2 0.000 0.000 0.500
Re1 0.000 0.000 0.000
Sr1 0.000 0.500 0.000
Li1 0.500 0.500 0.500

2.
Density functional theory data (PBE) for crystalline AcPaN2F at its relaxed geometry.

Output
Crystal system: tetragonal
ΔE_f (raw): -2175 meV/atom
Space-group type: No. 129

Lattice parameters (Å, degrees): 3.649 3.649 12.074 90.00 90.00 90.00
Fractional positions:
N1 0.000 0.500 0.102
N2 0.500 0.000 0.276
N3 0.500 0.000 0.898
N4 0.000 0.500 0.724
Pa1 0.000 0.500 0.897
Pa2 0.500 0.000 0.103
Ac1 0.500 0.000 0.654
Ac2 0.000 0.500 0.346
F1 0.500 0.500 0.500
F2 0.000 0.000 0.500

3.
Density functional theory data (PBE) for crystalline YEr4Tm7 at its relaxed geometry.

Output
Crystal system: monoclinic
Space-group type: No. 12
Energy of formation from the pure elements: 3.6 eV per formula unit
Distance to the lowest polymorph of the same formula: 216 meV/atom

Lattice parameters (Å, degrees): 5.765 11.386 6.639 83.50 64.27 75.34
Fractional positions:
Er1 0.366 0.775 0.493
Er2 0.634 0.225 0.507
Er3 0.750 0.685 0.816
Er4 0.250 0.315 0.184
Tm1 0.787 0.924 0.503
Tm2 0.213 0.076 0.497
Tm3 0.636 0.497 0.232
Tm4 0.500 0.000 0.000
Tm5 0.059 0.674 0.208
Tm6 0.941 0.326 0.792
Tm7 0.364 0.503 0.768
Y1 0.000 0.000 0.000

4.
Density functional theory data (PBE) for crystalline Tl2ReHg at its relaxed geometry.

Output
Crystal system: orthorhombic
Space-group type: No. 25
Energy of formation from the pure elements: 3.8 eV per formula unit
Distance to the lowest polymorph of the same formula: 248 meV/atom

Lattice parameters (Å, degrees): 3.004 4.907 5.929 90.00 90.00 90.00
Fractional positions:
Hg1 0.000 0.000 0.503
Tl1 0.000 0.000 0.979
Tl2 0.500 0.500 0.261
Re1 0.500 0.500 0.756

5.
Density functional theory data (PBE) for crystalline Y2Ho3Er6Tm at its relaxed geometry.

Output
Crystal system: monoclinic
Space-group type: No. 12
Energy of formation from the pure elements: 0.3 eV per formula unit

Lattice parameters (Å, degrees): 6.094 6.094 11.669 94.98 94.98 119.93
Fractional positions:
Ho1 0.167 0.833 0.500
Ho2 0.500 0.500 0.500
Ho3 0.833 0.167 0.500
Er1 0.083 0.416 0.251
Er2 0.917 0.584 0.749
Er3 0.584 0.917 0.749
Er4 0.249 0.249 0.749
Er5 0.751 0.751 0.251
Er6 0.416 0.083 0.251
Y1 0.667 0.333 0.000
Y2 0.333 0.667 0.000
Tm1 0.000 0.000 0.000

6.
Density functional theory data (PBE) for crystalline CuNi2S2 at its relaxed geometry.

Output
Crystal system: tetragonal
ΔE_f (raw): 48 meV/atom
Space-group type: No. 127
Distance to the lowest polymorph of the same formula: 255 meV/atom

Lattice parameters (Å, degrees): 6.434 6.434 3.149 90.00 90.00 90.00
Fractional positions:
S1 0.171 0.329 0.000
S2 0.671 0.171 0.000
S3 0.329 0.829 0.000
S4 0.829 0.671 0.000
Ni1 0.856 0.356 0.500
Ni2 0.644 0.856 0.500
Ni3 0.356 0.144 0.500
Ni4 0.144 0.644 0.500
Cu1 0.000 0.000 0.000
Cu2 0.500 0.500 0.000

7.
Density functional theory data (PBE) for crystalline Tm2ZnGe at its relaxed geometry.

Output
Crystal system: monoclinic
Space-group type: No. 11
Energy of formation from the pure elements: -2.4 eV per formula unit

Lattice parameters (Å, degrees): 4.046 5.719 8.346 111.60 90.00 90.00
Fractional positions:
Tm1 0.250 0.783 0.572
Tm2 0.750 0.219 0.931
Tm3 0.750 0.217 0.428
Tm4 0.250 0.781 0.069
Zn1 0.750 0.655 0.289
Zn2 0.250 0.345 0.711
Ge1 0.750 0.657 0.789
Ge2 0.250 0.343 0.211

8.
Density functional theory data (PBE) for crystalline CaP2 at its relaxed geometry.

Output
Crystal system: orthorhombic
Space-group type: No. 69
Energy of formation from the pure elements: -1.5 eV per formula unit

Lattice parameters (Å, degrees): 4.917 4.917 4.910 131.10 131.10 71.76
Fractional positions:
Ca1 0.000 0.000 0.000
P1 0.370 0.370 0.000
P2 0.630 0.630 0.000

9.
Density functional theory data (PBE) for crystalline ThU2Re at its relaxed geometry.

Output
Crystal system: trigonal
Space-group type: No. 166
Energy of formation from the pure elements: 1.8 eV per formula unit

Lattice parameters (Å, degrees): 3.249 3.249 9.985 80.64 80.64 60.00
Fractional positions:
U1 0.740 0.740 0.779
U2 0.260 0.260 0.221
Th1 0.500 0.500 0.500
Re1 0.000 0.000 0.000

10.
Density functional theory data (PBE) for crystalline DyCo3As3 at its relaxed geometry.

Output
Crystal system: trigonal
Space-group type: No. 148
Energy of formation from the pure elements: -3.4 eV per formula unit
Distance to the lowest polymorph of the same formula: 0 meV/atom

Lattice parameters (Å, degrees): 6.643 6.643 7.523 63.80 63.80 60.00
Fractional positions:
Co1 0.525 0.226 0.370
Co2 0.226 0.879 0.370
Co3 0.121 0.475 0.630
Co4 0.475 0.774 0.630
Co5 0.774 0.121 0.630
Co6 0.879 0.525 0.370
As1 0.603 0.907 0.273
As2 0.093 0.782 0.727
As3 0.907 0.218 0.273
As4 0.218 0.603 0.273
As5 0.782 0.397 0.727
As6 0.397 0.093 0.727
Dy1 0.667 0.667 0.999
Dy2 0.333 0.333 0.001

11.
Density functional theory data (PBE) for crystalline CdRe3Te at its relaxed geometry.

Output
Crystal system: cubic
ΔE_f (raw): 2361 meV/atom
Space-group type: No. 221
Distance to the lowest polymorph of the same formula: 0 meV/atom

Lattice parameters (Å, degrees): 4.852 4.852 4.852 90.00 90.00 90.00
Fractional positions:
Re1 0.000 0.500 0.000
Re2 0.500 0.000 0.000
Re3 0.000 0.000 0.500
Cd1 0.500 0.500 0.500
Te1 0.000 0.000 0.000

12.
Density functional theory data (PBE) for crystalline TaCdNi6 at its relaxed geometry.

Output
Crystal system: orthorhombic
Space-group type: No. 65
Energy of formation from the pure elements: -1.2 eV per formula unit

Lattice parameters (Å, degrees): 6.406 6.406 10.474 90.00 90.00 109.40
Fractional positions:
Ni1 0.120 0.373 0.371
Ni2 0.373 0.120 0.371
Ni3 0.367 0.120 0.880
Ni4 0.246 0.754 0.494
Ni5 0.000 0.000 0.250
Ni6 0.120 0.373 0.129
Ni7 0.246 0.754 0.006
Ni8 0.000 0.000 0.750
Ni9 0.880 0.633 0.620
Ni10 0.120 0.367 0.620
Ni11 0.500 0.500 0.750
Ni12 0.880 0.633 0.880
Ni13 0.880 0.627 0.371
Ni14 0.627 0.880 0.371
Ni15 0.500 0.500 0.250
Ni16 0.754 0.246 0.006
Ni17 0.633 0.880 0.620
Ni18 0.633 0.880 0.880
Ni19 0.754 0.246 0.494
Ni20 0.367 0.120 0.620
Ni21 0.880 0.627 0.129
Ni22 0.373 0.120 0.129
Ni23 0.120 0.367 0.880
Ni24 0.627 0.880 0.129
Ta1 0.248 0.752 0.250
Ta2 0.752 0.248 0.250
Ta3 0.000 0.000 0.502
Ta4 0.000 0.000 0.998
Cd1 0.253 0.747 0.750
Cd2 0.747 0.253 0.750
Cd3 0.500 0.500 0.000
Cd4 0.500 0.500 0.500